DyErAlCu GGA-PBE relaxed; crystal system = cubic; E_form = -28 kJ/mol of atoms; offset from the most stable computed form = 38 meV/atom
1.0
5.0192 0.0000 0.0000
2.5096 4.3467 0.0000
2.5096 1.4489 4.0982
Dy Al Cu Er
1 1 1 1
direct
0.2500 0.2500 0.2500 Dy
0.0000 0.0000 0.0000 Al
0.5000 0.5000 0.5000 Cu
0.7500 0.7500 0.7500 Er

CePd3Rh GGA-PBE relaxed; crystal system = orthorhombic; E_form = -20 kJ/mol of atoms
1.0
4.9970 -0.0001 0.0000
-0.0001 6.3219 -3.1800
-0.0001 -0.7143 7.0407
Ce Pd Rh
2 6 2
direct
0.2500 0.2335 0.7665 Ce
0.7500 0.7665 0.2335 Ce
0.2500 0.8047 0.5905 Pd
0.2500 0.4095 0.1953 Pd
0.7500 0.5905 0.8047 Pd
0.7500 0.1953 0.4095 Pd
0.0000 0.0000 0.0000 Pd
0.5000 0.0000 0.0000 Pd
0.2500 0.4145 0.5855 Rh
0.7500 0.5855 0.4145 Rh

SrGaTc2N4 GGA-PBE relaxed; crystal system = tetragonal; energy relative to the elements, uncorrected = -0.069 eV/atom
1.0
5.1278 0.2128 0.0000
-0.2133 5.1277 0.0000
-2.4572 -2.6703 4.1578
Sr Ga Tc N
1 1 2 4
direct
0.0001 0.0001 0.0001 Sr
0.5000 0.5000 0.0001 Ga
0.7500 0.2500 0.5001 Tc
0.2500 0.7500 0.5001 Tc
0.5305 0.5305 0.6663 N
0.4696 0.8642 0.3338 N
0.8642 0.4696 0.3338 N
0.1358 0.1358 0.6663 N

ErZn4Cu GGA-PBE relaxed; crystal system = orthorhombic; E_form = -22 kJ/mol of atoms; offset from the most stable computed form = 0 meV/atom
1.0
3.9750 0.0000 0.0000
0.0000 6.7190 0.0000
-1.9875 0.0000 7.6408
Er Zn Cu
2 8 2
direct
0.1230 0.2500 0.2461 Er
0.8770 0.7500 0.7539 Er
0.5000 0.5000 0.0000 Zn
0.5000 0.0000 0.0000 Zn
0.6769 0.9417 0.3538 Zn
0.3231 0.0583 0.6462 Zn
0.3231 0.4417 0.6462 Zn
0.6769 0.5583 0.3538 Zn
0.0722 0.7500 0.1445 Zn
0.9278 0.2500 0.8555 Zn
0.2348 0.7500 0.4696 Cu
0.7652 0.2500 0.5304 Cu